Record 1
VASP calculation (PBE) on CaHo2Mg after structural relaxation.

Cell lengths 5.5559, 5.5559, 5.5559 Å; angles 60.00, 60.00, 60.00 degrees
Closest atoms and distances in Å follow each position.
Fractional coordinates of all 4 atoms:
Ca 0.0000 0.0000 0.0000  8 Ho 3.40
Ho 0.2500 0.2500 0.2500  4 Mg 3.40, 4 Ca 3.40
Ho 0.7500 0.7500 0.7500  4 Mg 3.40, 4 Ca 3.40
Mg 0.5000 0.5000 0.5000  8 Ho 3.40

Values from the calculation:
E_form   0.096 eV per atom
Magnetization   0.00 Bohr magnetons per cell
Polymorph energy (0 for the lowest one)   5.5 kJ/mol of atoms

=====

Record 2
VASP calculation (PBE) on KCd2Ir after structural relaxation.

Cell lengths 5.4618, 5.4618, 5.4618 Å; angles 132.23, 132.23, 69.86 degrees
Closest atoms and distances in Å follow each position.
Fractional coordinates of all 4 atoms:
K 0.0000 0.0000 0.0000  8 Cd 3.13-3.15, 4 Ir 3.15
Cd 0.2500 0.7500 0.5000  4 Ir 3.13, 4 Cd 3.15, 4 K 3.15
Cd 0.5000 0.5000 0.0000  4 K 3.13, 4 Cd 3.15, 4 Ir 3.15
Ir 0.7500 0.2500 0.5000  8 Cd 3.13-3.15, 4 K 3.15

Values from the calculation:
E_form   0.531 eV per atom
Magnetization   0.00 Bohr magnetons per cell
Polymorph energy (0 for the lowest one)   34.7 kJ/mol of atoms

=====

Record 3
VASP calculation (PBE) on Sm8Dy2Tm after structural relaxation.

Cell lengths 8.9829, 8.9829, 6.6942 Å; angles 99.66, 99.66, 44.13 degrees
Closest atoms and distances in Å follow each position.
Fractional coordinates of all 11 atoms:
Sm 0.0922 0.0922 0.9115  6 Sm 3.35-3.69, 1 Dy 3.68
Sm 0.1509 0.6749 0.5976  5 Sm 3.21-3.54, 1 Tm 3.33, 1 Dy 3.45
Sm 0.2556 0.2556 0.6836  5 Sm 3.30-3.48, 4 Dy 3.38-3.64
Sm 0.3251 0.8491 0.4024  5 Sm 3.21-3.54, 1 Tm 3.33, 1 Dy 3.45
Sm 0.6749 0.1509 0.5976  5 Sm 3.21-3.54, 1 Tm 3.33, 1 Dy 3.45
Sm 0.7444 0.7444 0.3164  5 Sm 3.30-3.48, 4 Dy 3.38-3.64
Sm 0.8491 0.3251 0.4024  5 Sm 3.21-3.54, 1 Tm 3.33, 1 Dy 3.45
Sm 0.9078 0.9078 0.0885  6 Sm 3.35-3.69, 1 Dy 3.68
Dy 0.3030 0.3030 0.1960  7 Sm 3.38-3.68, 1 Tm 3.75
Dy 0.6970 0.6970 0.8040  7 Sm 3.38-3.68, 1 Tm 3.75
Tm 0.5000 0.5000 0.0000  4 Sm 3.33

Values from the calculation:
E_form   0.171 eV per atom
Magnetization   0.00 Bohr magnetons per cell
Polymorph energy (0 for the lowest one)   4.5 kJ/mol of atoms

=====

Record 4
VASP calculation (PBE) on KLa2TlOs after structural relaxation.

Cell lengths 5.6019, 5.6019, 5.5320 Å; angles 90.00, 90.00, 90.00 degrees
Closest atoms and distances in Å follow each position.
Fractional coordinates of all 5 atoms:
K 0.0000 0.0000 0.0000  8 La 3.94, 4 Tl 3.96
La 0.0000 0.5000 0.5000  2 Os 2.80
La 0.5000 0.0000 0.5000  2 Os 2.80
Tl 0.5000 0.5000 0.0000  2 Os 2.77
Os 0.5000 0.5000 0.5000  2 Tl 2.77, 4 La 2.80

Values from the calculation:
E_form   0.036 eV per atom
Magnetization   0.00 Bohr magnetons per cell

=====

Record 5
VASP calculation (PBE) on LiPr2I6 after structural relaxation.

Cell lengths 10.5107, 10.5107, 9.6516 Å; angles 106.77, 106.77, 23.37 degrees
Closest atoms and distances in Å follow each position.
Fractional coordinates of all 9 atoms:
Li 0.0000 0.0000 0.0000  6 I 3.00-3.24
Pr 0.3398 0.3398 0.6826  6 I 3.07-3.29
Pr 0.6602 0.6602 0.3174  6 I 3.07-3.29
I 0.1641 0.1641 0.0773  2 Pr 3.16, 1 Li 3.24
I 0.1726 0.1726 0.5778  3 Pr 3.25-3.29
I 0.4961 0.4961 0.7793  2 Li 3.00, 1 Pr 3.07
I 0.5039 0.5039 0.2207  2 Li 3.00, 1 Pr 3.07
I 0.8274 0.8274 0.4222  3 Pr 3.25-3.29
I 0.8359 0.8359 0.9227  2 Pr 3.16, 1 Li 3.24

Values from the calculation:
Magnetization   0.00 Bohr magnetons per cell
Polymorph energy (0 for the lowest one)   0.0 kJ/mol of atoms